VASP calculation (PBE-GGA) on a geometry-optimized Rb3Tl2O2F3 structure.

The calculation puts the magnetization at 0.0 μB per formula unit. The calculation puts the density of states at the Fermi level at 4.50 states/eV/cell. The calculation puts the total energy at -80.708 eV/cell. The calculation puts the uncorrected formation energy at -1.719 eV/atom.

It has space group I4/mmm (No. 139), with a = 4.1852 Å, b = 4.1852 Å, c = 26.9562 Å, α = 90.00°, β = 90.00° and γ = 90.00°. Symmetry generates all atoms from Rb at (0.0000, 0.0000, 0.0000), Rb at (0.0000, 0.0000, 0.3943), Tl at (0.0000, 0.0000, 0.2109), O at (0.0000, 0.5000, 0.2500), F at (0.0000, 0.0000, 0.1025) and F at (0.0000, 0.0000, 0.5000).

=====

VASP calculation (PBE-GGA) on a geometry-optimized Ba3Hf2NpO9 structure.

The calculation puts the magnetization at 3.0 μB per formula unit. The calculation puts the density of states at the Fermi level at 10.29 states/eV/cell. The calculation puts the total energy at -131.396 eV/cell. The calculation puts the uncorrected formation energy at -3.210 eV/atom.

It has space group P-3m1 (No. 164), with a = 6.0477 Å, b = 6.0477 Å, c = 7.4285 Å, α = 90.00°, β = 90.00° and γ = 120.00°. Symmetry generates all atoms from Ba at (0.0000, 0.0000, 0.0000), Ba at (0.3333, 0.6667, 0.6703), Hf at (0.3333, 0.6667, 0.1599), Np at (0.0000, 0.0000, 0.5000), O at (0.0000, 0.5000, 0.0000) and O at (0.1717, 0.3434, 0.3250).